# 1
The following is a DFT calculation (PBE) of NaCrCuP after structural relaxation.

Lattice parameters (Å, degrees): 3.4924 3.4924 11.4019 90.00 90.00 90.00
Fractional coordinates of all 8 atoms:
P1 0.2500 0.2500 0.1372
Na1 0.7500 0.7500 0.2755
Cu1 0.2500 0.7500 0.5000
Cu2 0.7500 0.2500 0.5000
Cr1 0.2500 0.7500 0.0000
Na2 0.2500 0.2500 0.7245
Cr2 0.7500 0.2500 0.0000
P2 0.7500 0.7500 0.8628

Properties
energy of formation from the pure elements	-0.12	eV/atom
spin magnetization	0.00	μB/atom
N(E_F)	2.8	states/eV per cell



# 2
The following is a DFT calculation (PBE) of NaCr2CuSb after structural relaxation.

Lattice parameters (Å, degrees): 5.2751 4.9336 5.2751 90.00 90.00 90.00
Each line ends with the local moment (μB).
Fractional coordinates of all 5 atoms:
Cu1 0.0000 0.5000 0.0000  0.01
Cr1 0.5000 0.0000 0.0000  3.89
Cr2 0.0000 0.0000 0.5000  3.98
Sb1 0.0000 0.0000 0.0000  -0.08
Na1 0.5000 0.5000 0.5000  -0.02

Properties
energy relative to the elements, uncorrected	0.82	eV/atom
spin magnetization	1.80	μB/atom
N(E_F)	0.8	states/eV per cell



# 3
The following is a DFT calculation (PBE) of NaCrCu2Sb after structural relaxation.

Lattice parameters (Å, degrees): 4.8389 4.9182 4.8389 90.00 90.00 90.00
Each line ends with the local moment (μB).
Fractional coordinates of all 5 atoms:
Cu1 0.0000 0.0000 0.5000  0.16
Cr1 0.0000 0.0000 0.0000  2.70
Cu2 0.5000 0.0000 0.0000  0.11
Na1 0.5000 0.5000 0.5000  -0.01
Sb1 0.0000 0.5000 0.0000  -0.14

Properties
energy relative to the elements, uncorrected	0.56	eV/atom
spin magnetization	0.58	μB/atom
N(E_F)	2.3	states/eV per cell



# 4
The following is a DFT calculation (PBE) of Na4Cr3CuSe8 after structural relaxation.

Lattice parameters (Å, degrees): 7.5541 8.0922 7.5582 117.86 119.98 90.00
Each line ends with the local moment (μB).
Fractional coordinates of all 16 atoms:
Se1 0.2344 0.6965 0.9621  -0.14
Se2 0.2347 0.6967 0.4693  -0.14
Se3 0.7656 0.3035 0.0379  -0.14
Se4 0.7336 0.7010 0.4672  -0.10
Na1 0.5000 0.0000 0.0000  0.00
Na2 0.0000 0.0000 0.0000  0.00
Na3 0.0000 0.0000 0.5000  0.00
Cr1 0.0000 0.5000 0.5000  2.92
Na4 0.5000 0.0000 0.5000  0.00
Cu1 0.0000 0.5000 0.0000  -0.24
Se5 0.2723 0.3035 0.0379  -0.14
Se6 0.7277 0.6965 0.9621  -0.14
Cr2 0.5000 0.5000 0.0000  2.92
Cr3 0.5000 0.5000 0.5000  2.92
Se7 0.7653 0.3033 0.5307  -0.14
Se8 0.2664 0.2990 0.5328  -0.10

Properties
energy relative to the elements, uncorrected	-0.69	eV/atom
spin magnetization	0.48	μB/atom
N(E_F)	7.2	states/eV per cell



# 5
The following is a DFT calculation (PBE) of Na2CrCuSe4 after structural relaxation.

Lattice parameters (Å, degrees): 7.9683 7.9683 7.5683 118.35 118.35 94.88
Each line ends with the local moment (μB).
Fractional coordinates of all 16 atoms:
Se1 0.7688 0.2942 0.0315  -0.06
Na1 0.5000 0.5000 0.0000  0.00
Se2 0.2186 0.2814 0.0497  -0.06
Se3 0.2058 0.7312 0.4685  -0.06
Na2 0.5000 0.0000 0.0000  0.00
Se4 0.7814 0.7186 0.5497  -0.06
Se5 0.2312 0.7058 0.9685  -0.06
Cu1 0.5000 0.5000 0.5000  -0.01
Cu2 0.0000 0.0000 0.0000  -0.01
Cr1 0.0000 0.5000 0.0000  2.80
Se6 0.7942 0.2688 0.5315  -0.06
Na3 0.5000 0.0000 0.5000  0.00
Na4 0.0000 0.0000 0.5000  0.00
Cr2 0.0000 0.5000 0.5000  2.80
Se7 0.2186 0.2814 0.4503  -0.06
Se8 0.7814 0.7186 0.9503  -0.06

Properties
energy relative to the elements, uncorrected	-0.57	eV/atom
spin magnetization	0.34	μB/atom
N(E_F)	7.9	states/eV per cell



# 6
The following is a DFT calculation (PBE) of Na3Cr3CuSe8 after structural relaxation.

Lattice parameters (Å, degrees): 7.4086 7.4110 8.1606 117.06 90.00 119.99
Each line ends with the local moment (μB).
Fractional coordinates of all 15 atoms:
Se1 0.7648 0.0389 0.3035  -0.13
Se2 0.7338 0.4675 0.7012  -0.11
Na1 0.5000 0.5000 0.0000  0.00
Se3 0.7667 0.5334 0.3050  -0.13
Se4 0.7259 0.9611 0.6965  -0.13
Na2 0.0000 0.5000 0.0000  0.00
Cr1 0.5000 0.5000 0.5000  2.85
Cr2 0.5000 0.0000 0.5000  2.85
Cr3 0.0000 0.5000 0.5000  2.85
Se5 0.2333 0.4666 0.6950  -0.13
Se6 0.2741 0.0389 0.3035  -0.13
Cu1 0.0000 0.0000 0.5000  -0.12
Se7 0.2352 0.9611 0.6965  -0.13
Se8 0.2662 0.5325 0.2988  -0.11
Na3 0.0000 0.0000 0.0000  0.00

Properties
energy relative to the elements, uncorrected	-0.63	eV/atom
spin magnetization	0.51	μB/atom
N(E_F)	8.1	states/eV per cell



# 7
The following is a DFT calculation (PBE) of NaSrCr2Cu after structural relaxation.

Lattice parameters (Å, degrees): 6.0508 5.5098 6.0508 90.00 90.00 90.00
Each line ends with the local moment (μB).
Fractional coordinates of all 5 atoms:
Sr1 0.0000 0.0000 0.0000  0.11
Na1 0.5000 0.5000 0.5000  -0.01
Cr1 0.0000 0.0000 0.5000  4.19
Cu1 0.0000 0.5000 0.0000  0.02
Cr2 0.5000 0.0000 0.0000  4.31

Properties
energy of formation from the pure elements	1.58	eV/atom
spin magnetization	2.06	μB/atom
N(E_F)	1.9	states/eV per cell



# 8
The following is a DFT calculation (PBE) of NaTaCrCu2 after structural relaxation.

Lattice parameters (Å, degrees): 4.3141 4.5419 4.3141 90.00 90.00 90.00
Each line ends with the local moment (μB).
Fractional coordinates of all 5 atoms:
Na1 0.0000 0.0000 0.0000  0.05
Cr1 0.0000 0.5000 0.0000  3.33
Cu1 0.0000 0.0000 0.5000  -0.01
Cu2 0.5000 0.0000 0.0000  -0.04
Ta1 0.5000 0.5000 0.5000  -0.97

Properties
energy of formation from the pure elements	1.60	eV/atom
spin magnetization	0.42	μB/atom
N(E_F)	3.2	states/eV per cell